{"formula": "Gd2PuMn", "functional": "PBE", "state": "optimized geometry", "polymorph_energy_ev_per_atom": 0.2251, "formation_enthalpy_0k_mev_per_atom": 448, "m_tot_mub_per_fu": 25.05, "total_energy_ev_per_atom": -12.468, "lattice": [[5.3667, 0.0000, 0.0000], [2.6833, 4.6477, 0.0000], [2.6833, 1.5492, 4.3819]], "species": ["Gd", "Gd", "Mn", "Pu"], "fractional_positions": [[0.2500, 0.2500, 0.2500], [0.7500, 0.7500, 0.7500], [0.5000, 0.5000, 0.5000], [0.0000, 0.0000, 0.0000]]}

---

{"formula": "NdErPu2As4", "functional": "PBE", "state": "optimized geometry", "formation_enthalpy_0k_mev_per_atom": -1258, "m_tot_mub_per_fu": 9.90, "total_energy_ev_per_atom": -8.332, "lattice": [[-0.5196, -3.9846, -1.0952], [6.1381, 0.2175, -3.7033], [5.4784, -1.8934, 4.2893]], "species": ["As", "As", "As", "As", "Pu", "Pu", "Er", "Nd"], "fractional_positions": [[0.5000, 0.7541, 0.2544], [0.5000, 0.2459, 0.7456], [0.0000, 0.7584, 0.7413], [0.0000, 0.2416, 0.2587], [0.5000, 0.0000, 0.5000], [0.0000, 0.0000, 0.0000], [0.0000, 0.5000, 0.5000], [0.5000, 0.5000, 0.0000]]}

---

{"formula": "PmMgBiTe", "functional": "PBE", "state": "optimized geometry", "raw_formation_energy_ev_per_atom": -0.77, "m_tot_mub_per_fu": 0.00, "total_energy_ev_per_atom": -4.115, "lattice": [[4.9670, 0.0000, 0.0000], [2.4835, 4.3015, 0.0000], [2.4835, 1.4338, 12.4669]], "species": ["Bi", "Bi", "Mg", "Mg", "Te", "Te", "Pm", "Pm"], "fractional_positions": [[0.8856, 0.8856, 0.3433], [0.1144, 0.1144, 0.6567], [0.1943, 0.1943, 0.4170], [0.8057, 0.8057, 0.5830], [0.6969, 0.6969, 0.9092], [0.3031, 0.3031, 0.0908], [0.6070, 0.6070, 0.1790], [0.3930, 0.3930, 0.8210]]}

---

{"formula": "Ir3PdPb", "functional": "PBE", "state": "optimized geometry", "polymorph_energy_ev_per_atom": 0.0000, "formation_enthalpy_0k_mev_per_atom": 1752, "m_tot_mub_per_fu": 2.47, "total_energy_ev_per_atom": -5.345, "lattice": [[-1.7331, 4.1935, -1.6024], [-4.4892, -1.6239, 0.6056], [-0.0130, 1.7130, 4.4969]], "species": ["Pb", "Ir", "Ir", "Ir", "Pd"], "fractional_positions": [[0.5000, 0.5000, 0.5000], [0.5000, 0.0000, 0.0000], [0.0000, 0.0000, 0.5000], [0.0000, 0.5000, 0.0000], [0.0000, 0.0000, 0.0000]]}

---

{"formula": "Hg8PtI6", "functional": "PBE", "state": "optimized geometry", "raw_formation_energy_ev_per_atom": -0.19, "m_tot_mub_per_fu": 0.00, "total_energy_ev_per_atom": -1.377, "lattice": [[8.0911, -0.6525, -0.4915], [0.9493, 8.9521, 1.2422], [-2.3692, -0.5661, 7.9871]], "species": ["Pt", "I", "I", "I", "I", "I", "I", "Hg", "Hg", "Hg", "Hg", "Hg", "Hg", "Hg", "Hg"], "fractional_positions": [[0.0000, 0.0000, 0.0000], [0.0826, 0.4475, 0.2873], [0.3902, 0.2500, 0.7848], [0.3872, 0.7511, 0.6638], [0.9174, 0.5525, 0.7127], [0.6128, 0.2489, 0.3362], [0.6098, 0.7500, 0.2152], [0.7048, 0.1414, 0.0250], [0.0283, 0.7231, 0.1378], [0.9976, 0.0013, 0.3379], [0.0024, 0.9987, 0.6621], [0.7159, 0.8590, 0.8121], [0.2952, 0.8586, 0.9750], [0.2841, 0.1410, 0.1879], [0.9717, 0.2769, 0.8622]]}

---

{"formula": "Pa2Be4IrPt3", "functional": "PBE", "state": "optimized geometry", "formation_enthalpy_0k_mev_per_atom": -752, "m_tot_mub_per_fu": 0.98, "total_energy_ev_per_atom": -6.840, "lattice": [[-1.9584, 3.5032, 0.1271], [-0.4024, -0.3692, 3.9782], [8.1945, 4.5357, 1.2497]], "species": ["Be", "Be", "Be", "Be", "Pt", "Pt", "Pt", "Ir", "Pa", "Pa"], "fractional_positions": [[0.5000, 0.0000, 0.6241], [0.0000, 0.5000, 0.3759], [0.0000, 0.0000, 0.0000], [0.5000, 0.5000, 0.0000], [0.0000, 0.0000, 0.5000], [0.5000, 0.0000, 0.8707], [0.0000, 0.5000, 0.1293], [0.5000, 0.5000, 0.5000], [0.0000, 0.5000, 0.7491], [0.5000, 0.0000, 0.2509]]}